Entry from Alexandria via LeMat-Bulk: Pm6Al5Ag after structural relaxation (PBE).

Energy relative to the elements, meV/atom: -338
DOS at the Fermi energy, states/eV/atom: 0.832
ρ, kg/m3: 6003

Cell and atoms, written as CIF:
```
data_Pm6Al5Ag
_chemical_formula_sum 'Pm6 Al5 Ag1'
_cell_length_a 8.3040
_cell_length_b 8.3040
_cell_length_c 7.4426
_cell_angle_alpha 90.00
_cell_angle_beta 90.00
_cell_angle_gamma 143.15
_symmetry_space_group_name_H-M 'P 1'
_symmetry_Int_Tables_number 1
_symmetry_space_group_name_Hall 'P 1'
loop_
_atom_site_label
_atom_site_fract_x
_atom_site_fract_y
_atom_site_fract_z
_atom_site_occupancy
Pm1 0.0000 0.0000 0.2497 1
Pm2 0.0000 0.0000 0.7503 1
Pm3 0.3336 0.6664 0.2501 1
Pm4 0.3336 0.6664 0.7499 1
Pm5 0.6664 0.3336 0.2501 1
Pm6 0.6664 0.3336 0.7499 1
Al1 0.1656 0.8344 0.0000 1
Al2 0.1665 0.8335 0.5000 1
Al3 0.5000 0.5000 0.5000 1
Al4 0.8335 0.1665 0.5000 1
Al5 0.8344 0.1656 0.0000 1
Ag1 0.5000 0.5000 0.0000 1
```

Entry from Alexandria via LeMat-Bulk: Zn2Ga3Cu8 after structural relaxation (PBE).

Energy relative to the elements, meV/atom: 37
DOS at the Fermi energy, states/eV/atom: 0.123
ρ, kg/m3: 7615

Cell and atoms, written as CIF:
```
data_Zn2Ga3Cu8
_chemical_formula_sum 'Zn2 Ga3 Cu8'
_cell_length_a 9.5093
_cell_length_b 9.5093
_cell_length_c 9.5093
_cell_angle_alpha 29.54
_cell_angle_beta 29.54
_cell_angle_gamma 29.54
_symmetry_space_group_name_H-M 'P 1'
_symmetry_Int_Tables_number 1
_symmetry_space_group_name_Hall 'P 1'
loop_
_atom_site_label
_atom_site_fract_x
_atom_site_fract_y
_atom_site_fract_z
_atom_site_occupancy
Zn1 0.1389 0.1389 0.1389 1
Zn2 0.8611 0.8611 0.8611 1
Ga1 0.3160 0.3160 0.3160 1
Ga2 0.5000 0.5000 0.5000 1
Ga3 0.6840 0.6840 0.6840 1
Cu1 0.2275 0.2275 0.2275 1
Cu2 0.2282 0.2282 0.7281 1
Cu3 0.2282 0.7281 0.2282 1
Cu4 0.2719 0.7718 0.7718 1
Cu5 0.7281 0.2282 0.2282 1
Cu6 0.7718 0.2719 0.7718 1
Cu7 0.7718 0.7718 0.2719 1
Cu8 0.7725 0.7725 0.7725 1
```

Entry from Alexandria via LeMat-Bulk: CuSb2Os after structural relaxation (PBE).

ΔE_f (raw), meV/atom: 373
DOS at the Fermi energy, states/eV/atom: 0.502
ρ, kg/m3: 10883

Cell and atoms, written as CIF:
```
data_CuSb2Os
_chemical_formula_sum 'Cu1 Sb2 Os1'
_cell_length_a 8.2512
_cell_length_b 8.2512
_cell_length_c 8.2512
_cell_angle_alpha 23.10
_cell_angle_beta 23.10
_cell_angle_gamma 23.10
_symmetry_space_group_name_H-M 'P 1'
_symmetry_Int_Tables_number 1
_symmetry_space_group_name_Hall 'P 1'
loop_
_atom_site_label
_atom_site_fract_x
_atom_site_fract_y
_atom_site_fract_z
_atom_site_occupancy
Cu1 0.0000 0.0000 0.0000 1
Sb1 0.2488 0.2488 0.2488 1
Sb2 0.7512 0.7512 0.7512 1
Os1 0.5000 0.5000 0.5000 1
```

Entry from Alexandria via LeMat-Bulk: CaCdCu2Ir after structural relaxation (PBE).

Energy relative to the elements, meV/atom: 480
DOS at the Fermi energy, states/eV/atom: 0.655
ρ, kg/m3: 6519

Cell and atoms, written as CIF:
```
data_CaCdCu2Ir
_chemical_formula_sum 'Ca1 Cd1 Cu2 Ir1'
_cell_length_a 4.8145
_cell_length_b 4.8145
_cell_length_c 5.1847
_cell_angle_alpha 90.00
_cell_angle_beta 90.00
_cell_angle_gamma 90.00
_symmetry_space_group_name_H-M 'P 1'
_symmetry_Int_Tables_number 1
_symmetry_space_group_name_Hall 'P 1'
loop_
_atom_site_label
_atom_site_fract_x
_atom_site_fract_y
_atom_site_fract_z
_atom_site_occupancy
Ca1 0.0000 0.0000 0.0000 1
Cd1 0.5000 0.5000 0.0000 1
Cu1 0.0000 0.5000 0.5000 1
Cu2 0.5000 0.0000 0.5000 1
Ir1 0.0000 0.0000 0.5000 1
```

Entry from Alexandria via LeMat-Bulk: HfThSb2 after structural relaxation (PBE).

ΔE_f (raw), meV/atom: 48
DOS at the Fermi energy, states/eV/atom: 1.355
ρ, kg/m3: 9782

Cell and atoms, written as CIF:
```
data_HfThSb2
_chemical_formula_sum 'Hf1 Th1 Sb2'
_cell_length_a 11.4385
_cell_length_b 11.4385
_cell_length_c 11.4385
_cell_angle_alpha 16.95
_cell_angle_beta 16.95
_cell_angle_gamma 16.95
_symmetry_space_group_name_H-M 'P 1'
_symmetry_Int_Tables_number 1
_symmetry_space_group_name_Hall 'P 1'
loop_
_atom_site_label
_atom_site_fract_x
_atom_site_fract_y
_atom_site_fract_z
_atom_site_occupancy
Hf1 0.0000 0.0000 0.0000 1
Th1 0.5000 0.5000 0.5000 1
Sb1 0.0863 0.0863 0.0863 1
Sb2 0.9137 0.9137 0.9137 1
```

Entry from Alexandria via LeMat-Bulk: TaMoSe3 after structural relaxation (PBE).

ΔE_f (raw), meV/atom: 958
DOS at the Fermi energy, states/eV/atom: 1.881
ρ, kg/m3: 7466

Cell and atoms, written as CIF:
```
data_TaMoSe3
_chemical_formula_sum 'Ta1 Mo1 Se3'
_cell_length_a 4.8527
_cell_length_b 4.8527
_cell_length_c 4.8527
_cell_angle_alpha 90.00
_cell_angle_beta 90.00
_cell_angle_gamma 90.00
_symmetry_space_group_name_H-M 'P 1'
_symmetry_Int_Tables_number 1
_symmetry_space_group_name_Hall 'P 1'
loop_
_atom_site_label
_atom_site_fract_x
_atom_site_fract_y
_atom_site_fract_z
_atom_site_occupancy
Ta1 0.0000 0.0000 0.0000 1
Mo1 0.5000 0.5000 0.5000 1
Se1 0.0000 0.5000 0.5000 1
Se2 0.5000 0.0000 0.5000 1
Se3 0.5000 0.5000 0.0000 1
```

Entry from Alexandria via LeMat-Bulk: Nb8Ge after structural relaxation (PBE).

Energy relative to the elements, meV/atom: -82
DOS at the Fermi energy, states/eV/atom: 0.931
ρ, kg/m3: 8372

Cell and atoms, written as CIF:
```
data_Nb8Ge
_chemical_formula_sum 'Nb8 Ge1'
_cell_length_a 8.5980
_cell_length_b 7.4055
_cell_length_c 5.4681
_cell_angle_alpha 82.33
_cell_angle_beta 58.60
_cell_angle_gamma 39.07
_symmetry_space_group_name_H-M 'P 1'
_symmetry_Int_Tables_number 1
_symmetry_space_group_name_Hall 'P 1'
loop_
_atom_site_label
_atom_site_fract_x
_atom_site_fract_y
_atom_site_fract_z
_atom_site_occupancy
Nb1 0.1628 0.1628 0.8372 1
Nb2 0.1690 0.5000 0.5000 1
Nb3 0.1693 0.8307 0.1693 1
Nb4 0.5000 0.1690 0.8310 1
Nb5 0.5000 0.8310 0.1690 1
Nb6 0.8307 0.1693 0.8307 1
Nb7 0.8310 0.5000 0.5000 1
Nb8 0.8372 0.8372 0.1628 1
Ge1 0.5000 0.5000 0.5000 1
```

Entry from Alexandria via LeMat-Bulk: K3Pu3AlSe8 after structural relaxation (PBE).

ΔE_f (raw), meV/atom: -1263
DOS at the Fermi energy, states/eV/atom: 2.316
ρ, kg/m3: 5356

Cell and atoms, written as CIF:
```
data_K3Pu3AlSe8
_chemical_formula_sum 'K3 Pu3 Al1 Se8'
_cell_length_a 8.3318
_cell_length_b 8.3318
_cell_length_c 9.1382
_cell_angle_alpha 117.01
_cell_angle_beta 117.01
_cell_angle_gamma 59.95
_symmetry_space_group_name_H-M 'P 1'
_symmetry_Int_Tables_number 1
_symmetry_space_group_name_Hall 'P 1'
loop_
_atom_site_label
_atom_site_fract_x
_atom_site_fract_y
_atom_site_fract_z
_atom_site_occupancy
K1 0.0000 0.0000 0.0000 1
K2 0.0000 0.5000 0.0000 1
K3 0.5000 0.0000 0.0000 1
Pu1 0.0000 0.5000 0.5000 1
Pu2 0.5000 0.0000 0.5000 1
Pu3 0.5000 0.5000 0.5000 1
Al1 0.0000 0.0000 0.5000 1
Se1 0.2155 0.7574 0.6881 1
Se2 0.2186 0.2186 0.6889 1
Se3 0.2426 0.7845 0.3119 1
Se4 0.2640 0.2640 0.2939 1
Se5 0.7360 0.7360 0.7061 1
Se6 0.7574 0.2155 0.6881 1
Se7 0.7814 0.7814 0.3111 1
Se8 0.7845 0.2426 0.3119 1
```

Number 1 is which compound? Pm6Al5Ag

Number 2 is which compound? Zn2Ga3Cu8

Which formula does entry 2 have? Zn2Ga3Cu8

Which value of DOS at the Fermi energy does entry 7 give? 0.931 states/eV/atom